A plane-wave DFT calculation with meta-GGA SCAN was carried out for Al2Te at its PBEsol-relaxed geometry.

Lattice parameters (Å, degrees): 5.616 5.616 5.616 60.00 60.00 60.00
Sites, in units of the cell vectors:
Al (0.000, 0.000, 0.000)
Al (0.000, 0.000, 0.500)
Al (0.000, 0.500, 0.000)
Al (0.500, 0.000, 0.000)
Te (0.375, 0.375, 0.375)
Te (0.625, 0.625, 0.625)

Output
DFT total energy   -17.32 eV per atom
Fermi-level density of states   3.5 states/eV/cell
Total magnetization   0.0124 μB/atom


A plane-wave DFT calculation with meta-GGA SCAN was carried out for AlTe4 at its PBEsol-relaxed geometry.

Lattice parameters (Å, degrees): 5.792 5.792 5.792 109.47 109.47 109.47
Sites, in units of the cell vectors:
Al (0.000, 0.000, 0.000)
Te (0.000, 0.000, 0.500)
Te (0.000, 0.500, 0.000)
Te (0.500, 0.000, 0.000)
Te (0.500, 0.500, 0.500)

Output
DFT total energy   -31.15 eV per atom
Fermi-level density of states   2.9 states/eV/cell
Total magnetization   0.0000 μB/atom


- Which of these has the highest total magnetization?
  Al2Te


- Number 2 is which compound?
  AlTe4